Material: BaEr2Te4
Method: DFT, PBEsol
State: optimized geometry

Values from the calculation:
Energy relative to the elements, uncorrected ... -1510 meV per atom
Final energy ... -146.72 eV per cell
M_tot ... 0.00 μB/cell
ρ ... 6.904 g/cm3

Cell and atoms, written as POSCAR:
```
BaEr2Te4
1.0
13.5114 0.0000 0.0000
0.0000 4.3842 0.0000
0.0000 0.0000 15.9538
Ba Er Te
4 8 16
Cartesian
3.2175 1.0961 2.7234
3.5382 3.2882 10.7003
9.9732 1.0961 5.2535
10.2939 3.2882 13.2304
0.7930 1.0961 6.2367
1.0852 1.0961 14.4222
5.6704 3.2882 6.4453
5.9627 3.2882 14.2136
7.5487 1.0961 1.7401
7.8409 1.0961 9.5085
12.4261 3.2882 1.5316
12.7184 3.2882 9.7170
0.3679 3.2882 12.5046
1.2317 1.0961 9.1993
1.7322 3.2882 0.4531
2.7690 3.2882 5.4507
3.9867 1.0961 13.4276
5.0235 1.0961 8.4300
5.5240 3.2882 1.2224
6.3878 1.0961 4.5278
7.1236 3.2882 11.4260
7.9874 1.0961 14.7313
8.4879 3.2882 7.5238
9.5247 3.2882 2.5262
10.7424 1.0961 10.5031
11.7791 1.0961 15.5007
12.2797 3.2882 6.7544
13.1435 1.0961 3.4491
```